No. 1
Density functional theory data (GGA-PBE) for a geometry-optimized La3AuC structure.

Structure (POSCAR):
```
La3AuC
1.0
24.4089 0.0000 8.1959
7.5638 1.9502 -0.3771
-7.5638 1.9502 0.3771
C Au La
2 2 6
Direct
0.6662 0.9667 0.0333
0.3338 0.0333 0.9667
0.7630 0.0673 0.9327
0.2370 0.9327 0.0673
0.5338 0.5929 0.4071
0.4662 0.4071 0.5929
0.8759 0.5329 0.4671
0.1241 0.4671 0.5329
0.7943 0.3560 0.6440
0.2057 0.6440 0.3560
```

Results
Uncorrected energy (eV/cell): -58.01
Relative energy among the computed polymorphs (meV/atom): 36
Space group: C2/m

=====

No. 2
Density functional theory data (GGA-PBE) for a geometry-optimized TaGaPCl2 structure.

Structure (POSCAR):
```
TaGaPCl2
1.0
4.6172 0.0000 0.0000
0.0000 4.6172 0.0000
0.0000 0.0000 4.9831
P Cl Ga Ta
1 2 1 1
Direct
0.0000 0.0000 0.5000
0.0000 0.5000 0.0000
0.5000 0.0000 0.0000
0.0000 0.0000 0.0000
0.5000 0.5000 0.5000
```

Results
Uncorrected energy (eV/cell): -20.44
Relative energy among the computed polymorphs (meV/atom): 982
Uncorrected formation energy (eV/atom): 0.708
Space group: P4/mmm

=====

No. 3
Density functional theory data (GGA-PBE) for a geometry-optimized KCu2Ir structure.

Structure (POSCAR):
```
KCu2Ir
1.0
-0.0317 2.6171 -1.0980
-2.8752 0.0416 0.1822
0.5398 3.2670 7.7714
Cu Ir K
2 1 1
Direct
0.0000 0.0000 0.0735
0.5000 0.5000 0.2436
0.0000 0.0000 0.4368
0.5000 0.5000 0.7460
```

Results
Uncorrected energy (eV/cell): -16.08
Relative energy among the computed polymorphs (meV/atom): 187
Space group: Pmm2

=====

> Number 1 is which compound?

La3AuC

=====

> Among the records above, which one has the lowest relative energy among the computed polymorphs?

La3AuC

=====

> What is the formula in the third record?

KCu2Ir